! PmHIr PBE optimized geometry; values from VASP
! Total DFT energy (no corrections) = -34.91 eV for the cell shown
! Offset from the most stable computed form = 23 meV per atom
! Total magnetic moment = 0.000 μB/cell
&SYSTEM
  ibrav = 0, nat = 6, ntyp = 3
/
ATOMIC_SPECIES
Pm 145.00 Pm.upf
H 1.01 H.upf
Ir 192.22 Ir.upf
ATOMIC_POSITIONS angstrom
Pm 0.000 0.000 0.000
Pm 1.435 2.271 1.819
H 2.871 4.542 2.319
H 4.306 6.814 4.138
Ir 2.871 4.542 3.946
Ir 4.306 6.814 5.765
CELL_PARAMETERS angstrom
0.000 4.542 3.639
2.871 0.000 3.639
2.871 4.542 0.000


! Sb3TeI7 PBE optimized geometry; values from VASP
! Total DFT energy (no corrections) = -29.70 eV for the cell shown
! ΔE_f (raw) = -303 meV/atom
! Total magnetic moment = 0.000 μB/cell
&SYSTEM
  ibrav = 0, nat = 11, ntyp = 3
/
ATOMIC_SPECIES
Sb 121.76 Sb.upf
Te 127.60 Te.upf
I 126.90 I.upf
ATOMIC_POSITIONS angstrom
Sb -2.116 3.808 0.000
Sb 2.116 3.808 0.000
Sb 0.000 7.474 0.000
Te 0.000 5.030 1.732
I 0.000 2.553 5.665
I -2.146 6.269 5.665
I 2.192 1.266 1.732
I 2.146 6.269 5.665
I 4.356 2.515 5.521
I 6.520 1.266 1.732
I 4.356 5.014 1.732
CELL_PARAMETERS angstrom
8.713 0.000 0.000
-4.356 7.545 0.000
0.000 0.000 7.472


! Nd2Dy7Tm4 PBE optimized geometry; values from VASP
! Total DFT energy (no corrections) = -57.09 eV for the cell shown
! Total magnetic moment = 0.000 μB/cell
&SYSTEM
  ibrav = 0, nat = 13, ntyp = 3
/
ATOMIC_SPECIES
Nd 144.24 Nd.upf
Dy 162.50 Dy.upf
Tm 168.93 Tm.upf
ATOMIC_POSITIONS angstrom
Nd 0.000 3.497 0.000
Nd 3.029 1.749 0.000
Dy 0.000 0.000 0.000
Dy -1.076 1.863 2.901
Dy -1.953 3.382 10.343
Dy 2.152 0.000 2.901
Dy 1.076 1.863 10.343
Dy 3.906 0.000 10.343
Dy 1.953 3.382 2.901
Tm 0.000 0.000 5.234
Tm 0.000 0.000 8.010
Tm 0.000 3.497 6.622
Tm 3.029 1.749 6.622
CELL_PARAMETERS angstrom
6.057 0.000 0.000
-3.029 5.246 0.000
0.000 0.000 13.244


! Tb4Cd3Tc PBE optimized geometry; values from VASP
! Total DFT energy (no corrections) = -33.54 eV for the cell shown
! Total magnetic moment = 0.325 μB/cell
&SYSTEM
  ibrav = 0, nat = 8, ntyp = 3
/
ATOMIC_SPECIES
Tb 158.93 Tb.upf
Cd 112.41 Cd.upf
Tc 98.00 Tc.upf
ATOMIC_POSITIONS angstrom
Tb 0.000 0.000 1.614
Tb 0.000 0.000 5.778
Tb 0.000 0.000 9.853
Tb 0.000 0.000 14.017
Cd 1.787 1.787 3.753
Cd 1.787 1.787 7.816
Cd 1.787 1.787 11.879
Tc 1.787 1.787 0.000
CELL_PARAMETERS angstrom
3.574 0.000 0.000
0.000 3.574 0.000
0.000 0.000 15.631


! ReMo2Se PBE optimized geometry; values from VASP
! Total DFT energy (no corrections) = -36.35 eV for the cell shown
! ΔE_f (raw) = 311 meV/atom
! Total magnetic moment = 0.001 μB/cell
&SYSTEM
  ibrav = 0, nat = 4, ntyp = 3
/
ATOMIC_SPECIES
Re 186.21 Re.upf
Mo 95.94 Mo.upf
Se 78.96 Se.upf
ATOMIC_POSITIONS angstrom
Re 0.000 0.000 0.000
Mo 0.000 2.279 1.505
Mo 2.279 0.000 1.505
Se 2.279 2.279 0.000
CELL_PARAMETERS angstrom
4.558 0.000 0.000
0.000 4.558 0.000
0.000 0.000 3.010


! Sr2Zn6In PBE optimized geometry; values from VASP
! Total DFT energy (no corrections) = -15.80 eV for the cell shown
! Total magnetic moment = 0.000 μB/cell
&SYSTEM
  ibrav = 0, nat = 9, ntyp = 3
/
ATOMIC_SPECIES
Sr 87.62 Sr.upf
Zn 65.41 Zn.upf
In 114.82 In.upf
ATOMIC_POSITIONS angstrom
Sr 0.000 3.476 0.921
Sr 3.010 1.738 5.337
Zn 0.000 1.887 4.032
Zn -1.376 4.270 4.032
Zn 1.634 0.944 2.226
Zn 1.376 4.270 4.032
Zn 4.386 0.944 2.226
Zn 3.010 3.326 2.226
In 0.000 0.000 0.000
CELL_PARAMETERS angstrom
6.020 0.000 0.000
-3.010 5.213 0.000
0.000 0.000 6.258


! TbSm2Th PBE optimized geometry; values from VASP
! Total DFT energy (no corrections) = -20.77 eV for the cell shown
! Offset from the most stable computed form = 161 meV per atom
! Total magnetic moment = 0.000 μB/cell
&SYSTEM
  ibrav = 0, nat = 4, ntyp = 3
/
ATOMIC_SPECIES
Tb 158.93 Tb.upf
Sm 150.36 Sm.upf
Th 232.04 Th.upf
ATOMIC_POSITIONS angstrom
Tb 0.000 0.000 0.000
Sm 0.000 0.000 15.516
Sm 0.000 0.000 22.306
Th 0.000 0.000 18.911
CELL_PARAMETERS angstrom
1.746 1.008 12.607
-1.746 1.008 12.607
0.000 -2.016 12.607